[1]
Below is an optimized crystal structure of HfBiPO2, with properties calculated at the PBE level.

The structure in extended XYZ format:
```
5
Lattice="4.077 0.000 0.000 0.000 4.077 0.000 0.000 0.000 5.384" Properties=species:S:1:pos:R:3 pbc="T T T"
Hf 0.000 0.000 0.000
O 2.038 0.000 0.000
Bi 2.038 2.038 2.692
P 0.000 0.000 2.692
O 0.000 2.038 0.000
```

## Properties
Space-group type: P4/mmm, No. 123
DOS at the Fermi energy in states/eV/atom: 0.10
Excess energy over the best structure of this formula in the dataset in eV per atom: 0.000
Uncorrected formation energy in meV per atom: -1563.0


[2]
Below is an optimized crystal structure of HfPaBi2O8, with properties calculated at the PBE level.

The structure in extended XYZ format:
```
12
Lattice="5.154 -0.037 -0.003 -0.007 5.153 -0.006 0.004 0.008 6.978" Properties=species:S:1:pos:R:3 pbc="T T T"
O 1.492 1.484 6.975
Hf 0.000 0.000 0.000
O 3.660 3.640 -0.006
O 4.239 0.895 5.295
O 1.522 1.512 3.486
O 0.913 4.228 1.674
Pa 0.002 0.004 3.489
Bi 2.575 2.560 1.672
O 0.915 4.232 5.293
O 4.236 0.891 1.676
Bi 2.577 2.564 5.297
O 3.630 3.612 3.483
```

## Properties
Space-group type: Cmmm, No. 65
DOS at the Fermi energy in states/eV/atom: 0.45
Uncorrected formation energy in meV per atom: -2393.1


[3]
Below is an optimized crystal structure of HfPaBiO6, with properties calculated at the PBE level.

The structure in extended XYZ format:
```
18
Lattice="5.733 0.000 0.000 -2.866 4.965 0.000 0.000 0.000 9.651" Properties=species:S:1:pos:R:3 pbc="T T T"
O 1.900 3.172 1.330
O 0.966 1.792 8.321
O 1.069 1.733 3.496
O 3.697 0.060 3.496
Bi 0.000 0.000 4.826
O 1.797 3.232 6.156
O -0.831 4.905 6.156
O 0.831 4.905 8.321
Bi 0.000 0.000 0.000
O -0.966 1.792 6.156
Hf 0.000 3.310 7.239
O 3.832 3.172 3.496
Pa 0.000 3.310 2.413
Pa 2.866 1.655 7.239
Hf 2.866 1.655 2.413
O 4.663 1.733 1.330
O -1.797 3.232 8.321
O 2.035 0.060 1.330
```

## Properties
Space-group type: P-31c, No. 163
DOS at the Fermi energy in states/eV/atom: 0.00
Uncorrected formation energy in meV per atom: -2862.4


[4]
Below is an optimized crystal structure of PmHfBiO6, with properties calculated at the PBE level.

The structure in extended XYZ format:
```
18
Lattice="5.543 0.000 0.000 -2.772 4.801 0.000 0.000 0.000 10.109" Properties=species:S:1:pos:R:3 pbc="T T T"
O 1.977 0.029 6.434
O 1.014 1.697 8.730
O 1.758 3.104 1.379
O -1.758 3.104 3.675
O 1.809 3.074 6.434
O -0.795 4.772 1.379
O 4.530 1.697 6.434
Hf 0.000 3.200 2.527
Pm 0.000 0.000 5.055
O 3.735 3.074 8.730
Pm 0.000 0.000 0.000
O 0.795 4.772 3.675
Hf 2.772 1.600 7.582
O -0.963 1.726 1.379
Bi 0.000 3.200 7.582
O 3.567 0.029 8.730
O 0.963 1.726 3.675
Bi 2.772 1.600 2.527
```

## Properties
Space-group type: P-31c, No. 163
DOS at the Fermi energy in states/eV/atom: 0.00
Uncorrected formation energy in meV per atom: -2428.4